1.
! PBE-GGA Gd3Dy5O12, optimized geometry; values from VASP
! SG: No. 230
! Uncorrected energy: -9.563 eV per atom
! Energy relative to the elements, uncorrected: -3.326 eV/atom
&SYSTEM
  ibrav = 0, nat = 80, ntyp = 3
/
ATOMIC_SPECIES
Gd 157.25 Gd.upf
Dy 162.50 Dy.upf
O 16.00 O.upf
ATOMIC_POSITIONS crystal
Gd 0.125 0.250 0.375
Gd 0.125 0.375 0.750
Gd 0.250 0.375 0.125
Gd 0.250 0.875 0.625
Gd 0.375 0.125 0.250
Gd 0.375 0.750 0.125
Gd 0.625 0.250 0.875
Gd 0.625 0.875 0.750
Gd 0.750 0.125 0.375
Gd 0.750 0.625 0.875
Gd 0.875 0.625 0.250
Gd 0.875 0.750 0.625
Dy 0.000 0.000 0.000
Dy 0.000 0.000 0.500
Dy 0.000 0.500 0.000
Dy 0.000 0.500 0.500
Dy 0.125 0.750 0.875
Dy 0.125 0.875 0.250
Dy 0.250 0.125 0.875
Dy 0.250 0.625 0.375
Dy 0.375 0.250 0.625
Dy 0.375 0.625 0.750
Dy 0.500 0.000 0.000
Dy 0.500 0.000 0.500
Dy 0.500 0.500 0.000
Dy 0.500 0.500 0.500
Dy 0.625 0.375 0.250
Dy 0.625 0.750 0.375
Dy 0.750 0.375 0.625
Dy 0.750 0.875 0.125
Dy 0.875 0.125 0.750
Dy 0.875 0.250 0.125
O 0.045 0.220 0.131
O 0.045 0.325 0.914
O 0.086 0.631 0.411
O 0.086 0.955 0.675
O 0.089 0.720 0.675
O 0.089 0.869 0.414
O 0.131 0.045 0.220
O 0.131 0.586 0.911
O 0.175 0.220 0.589
O 0.175 0.455 0.586
O 0.220 0.131 0.045
O 0.220 0.589 0.175
O 0.280 0.325 0.911
O 0.280 0.455 0.369
O 0.325 0.911 0.280
O 0.325 0.914 0.045
O 0.369 0.280 0.455
O 0.369 0.589 0.914
O 0.411 0.086 0.631
O 0.411 0.825 0.780
O 0.414 0.089 0.869
O 0.414 0.825 0.545
O 0.455 0.369 0.280
O 0.455 0.586 0.175
O 0.545 0.414 0.825
O 0.545 0.631 0.720
O 0.586 0.175 0.455
O 0.586 0.911 0.131
O 0.589 0.175 0.220
O 0.589 0.914 0.369
O 0.631 0.411 0.086
O 0.631 0.720 0.545
O 0.675 0.086 0.955
O 0.675 0.089 0.720
O 0.720 0.545 0.631
O 0.720 0.675 0.089
O 0.780 0.411 0.825
O 0.780 0.869 0.955
O 0.825 0.545 0.414
O 0.825 0.780 0.411
O 0.869 0.414 0.089
O 0.869 0.955 0.780
O 0.911 0.131 0.586
O 0.911 0.280 0.325
O 0.914 0.045 0.325
O 0.914 0.369 0.589
O 0.955 0.675 0.086
O 0.955 0.780 0.869
CELL_PARAMETERS angstrom
-6.766 6.766 6.766
6.766 -6.766 6.766
6.766 6.766 -6.766

---

2.
! PBE-GGA Gd2DyO, optimized geometry; values from VASP
! SG: No. 123
! Energy relative to the lowest polymorph listed for this composition: 0.435 eV per atom
! Uncorrected energy: -10.299 eV per atom
! Energy relative to the elements, uncorrected: -0.869 eV/atom
&SYSTEM
  ibrav = 0, nat = 4, ntyp = 3
/
ATOMIC_SPECIES
Gd 157.25 Gd.upf
Dy 162.50 Dy.upf
O 16.00 O.upf
ATOMIC_POSITIONS crystal
Gd 0.000 0.000 0.173
Gd 0.000 0.000 0.827
Dy 0.500 0.500 0.500
O 0.500 0.500 0.000
CELL_PARAMETERS angstrom
3.218 0.000 0.000
0.000 3.218 0.000
0.000 0.000 8.851

---

3.
! PBE-GGA Gd2DyO, optimized geometry; values from VASP
! SG: No. 166
! Energy relative to the lowest polymorph listed for this composition: 0.000 eV per atom
! Uncorrected energy: -10.734 eV per atom
! Energy relative to the elements, uncorrected: -1.304 eV/atom
&SYSTEM
  ibrav = 0, nat = 4, ntyp = 3
/
ATOMIC_SPECIES
Gd 157.25 Gd.upf
Dy 162.50 Dy.upf
O 16.00 O.upf
ATOMIC_POSITIONS crystal
Gd 0.219 0.219 0.219
Gd 0.781 0.781 0.781
Dy 0.000 0.000 0.000
O 0.500 0.500 0.500
CELL_PARAMETERS angstrom
1.784 1.030 8.790
-1.784 1.030 8.790
0.000 -2.060 8.790

---

4.
! PBE-GGA Gd3DyO, optimized geometry; values from VASP
! SG: No. 221
! Uncorrected energy: -11.443 eV per atom
! Energy relative to the elements, uncorrected: -1.082 eV/atom
&SYSTEM
  ibrav = 0, nat = 5, ntyp = 3
/
ATOMIC_SPECIES
Gd 157.25 Gd.upf
Dy 162.50 Dy.upf
O 16.00 O.upf
ATOMIC_POSITIONS crystal
Gd 0.000 0.000 0.500
Gd 0.000 0.500 0.000
Gd 0.500 0.000 0.000
Dy 0.500 0.500 0.500
O 0.000 0.000 0.000
CELL_PARAMETERS angstrom
4.991 0.000 0.000
0.000 4.991 0.000
0.000 0.000 4.991

---

5.
! PBE-GGA GdDyO, optimized geometry; values from VASP
! SG: No. 156
! Uncorrected energy: -9.681 eV per atom
! Energy relative to the elements, uncorrected: -1.800 eV/atom
&SYSTEM
  ibrav = 0, nat = 3, ntyp = 3
/
ATOMIC_SPECIES
Gd 157.25 Gd.upf
Dy 162.50 Dy.upf
O 16.00 O.upf
ATOMIC_POSITIONS crystal
Gd 0.000 0.000 0.000
Dy 0.333 0.667 0.471
O 0.667 0.333 0.244
CELL_PARAMETERS angstrom
3.522 0.000 0.000
-1.761 3.050 0.000
0.000 0.000 5.883

---

6.
! PBE-GGA GdDyO2, optimized geometry; values from VASP
! SG: No. 166
! Uncorrected energy: -10.030 eV per atom
! Energy relative to the elements, uncorrected: -2.880 eV/atom
&SYSTEM
  ibrav = 0, nat = 4, ntyp = 3
/
ATOMIC_SPECIES
Gd 157.25 Gd.upf
Dy 162.50 Dy.upf
O 16.00 O.upf
ATOMIC_POSITIONS crystal
Gd 0.000 0.000 0.000
Dy 0.500 0.500 0.500
O 0.114 0.114 0.114
O 0.886 0.886 0.886
CELL_PARAMETERS angstrom
1.808 1.044 6.553
-1.808 1.044 6.553
0.000 -2.088 6.553

---

7.
! PBE-GGA GdDy2Os, optimized geometry; values from VASP
! SG: No. 123
! Energy relative to the lowest polymorph listed for this composition: 0.000 eV per atom
! Uncorrected energy: -8.742 eV per atom
! Formation energy: -10.9 kJ per mole of atoms
&SYSTEM
  ibrav = 0, nat = 4, ntyp = 3
/
ATOMIC_SPECIES
Gd 157.25 Gd.upf
Dy 162.50 Dy.upf
Os 190.23 Os.upf
ATOMIC_POSITIONS crystal
Gd 0.000 0.000 0.000
Dy 0.500 0.500 0.321
Dy 0.500 0.500 0.679
Os 0.000 0.000 0.500
CELL_PARAMETERS angstrom
3.405 0.000 0.000
0.000 3.405 0.000
0.000 0.000 9.288

---

8.
! PBE-GGA GdDy3Os, optimized geometry; values from VASP
! SG: No. 221
! Uncorrected energy: -7.816 eV per atom
! Formation energy: 0.7 kJ per mole of atoms
&SYSTEM
  ibrav = 0, nat = 5, ntyp = 3
/
ATOMIC_SPECIES
Gd 157.25 Gd.upf
Dy 162.50 Dy.upf
Os 190.23 Os.upf
ATOMIC_POSITIONS crystal
Gd 0.000 0.000 0.000
Dy 0.000 0.500 0.500
Dy 0.500 0.000 0.500
Dy 0.500 0.500 0.000
Os 0.500 0.500 0.500
CELL_PARAMETERS angstrom
5.431 0.000 0.000
0.000 5.431 0.000
0.000 0.000 5.431

---

9.
! PBE-GGA Gd3DyOs, optimized geometry; values from VASP
! SG: No. 221
! Uncorrected energy: -11.580 eV per atom
! Formation energy: 3.3 kJ per mole of atoms
&SYSTEM
  ibrav = 0, nat = 5, ntyp = 3
/
ATOMIC_SPECIES
Gd 157.25 Gd.upf
Dy 162.50 Dy.upf
Os 190.23 Os.upf
ATOMIC_POSITIONS crystal
Gd 0.000 0.000 0.500
Gd 0.000 0.500 0.000
Gd 0.500 0.000 0.000
Dy 0.500 0.500 0.500
Os 0.000 0.000 0.000
CELL_PARAMETERS angstrom
5.461 0.000 0.000
0.000 5.461 0.000
0.000 0.000 5.461

---

10.
! PBE-GGA GdDyOs, optimized geometry; values from VASP
! SG: No. 216
! Energy relative to the lowest polymorph listed for this composition: 0.016 eV per atom
! Uncorrected energy: -10.160 eV per atom
! Formation energy: -18.3 kJ per mole of atoms
&SYSTEM
  ibrav = 0, nat = 3, ntyp = 3
/
ATOMIC_SPECIES
Gd 157.25 Gd.upf
Dy 162.50 Dy.upf
Os 190.23 Os.upf
ATOMIC_POSITIONS crystal
Gd 0.000 0.000 0.000
Dy 0.500 0.500 0.500
Os 0.750 0.750 0.750
CELL_PARAMETERS angstrom
0.000 3.391 3.391
3.391 0.000 3.391
3.391 3.391 0.000

---

11.
! PBE-GGA GdDyOs4, optimized geometry; values from VASP
! SG: No. 216
! Uncorrected energy: -10.846 eV per atom
! Formation energy: -23.7 kJ per mole of atoms
&SYSTEM
  ibrav = 0, nat = 6, ntyp = 3
/
ATOMIC_SPECIES
Gd 157.25 Gd.upf
Dy 162.50 Dy.upf
Os 190.23 Os.upf
ATOMIC_POSITIONS crystal
Gd 0.000 0.000 0.000
Dy 0.250 0.250 0.250
Os 0.125 0.625 0.625
Os 0.625 0.125 0.625
Os 0.625 0.625 0.125
Os 0.625 0.625 0.625
CELL_PARAMETERS angstrom
0.000 3.796 3.796
3.796 0.000 3.796
3.796 3.796 0.000

---

12.
! PBE-GGA Gd2DyOs, optimized geometry; values from VASP
! SG: No. 123
! Energy relative to the lowest polymorph listed for this composition: 0.000 eV per atom
! Uncorrected energy: -11.050 eV per atom
! Formation energy: -5.0 kJ per mole of atoms
&SYSTEM
  ibrav = 0, nat = 4, ntyp = 3
/
ATOMIC_SPECIES
Gd 157.25 Gd.upf
Dy 162.50 Dy.upf
Os 190.23 Os.upf
ATOMIC_POSITIONS crystal
Gd 0.000 0.000 0.181
Gd 0.000 0.000 0.819
Dy 0.500 0.500 0.500
Os 0.500 0.500 0.000
CELL_PARAMETERS angstrom
3.411 0.000 0.000
0.000 3.411 0.000
0.000 0.000 9.352

---

- The lowest uncorrected energy belongs to which entry?
  Gd3DyOs

---

- Among the records above, which one has the highest uncorrected energy?
  GdDy3Os

---

- uncorrected energy of number 6 (GdDyO2)?
  -10.030 eV per atom

---

- What is the uncorrected energy in the first record?
  -9.563 eV per atom